First-principles (PBE-GGA) data for BaSb2W after structural relaxation, as listed in Alexandria.

Cell and atoms, written as POSCAR:
```
BaSb2W
1.0
5.335 0.000 0.000
2.668 4.620 0.000
2.668 1.540 4.356
Sb W Ba
2 1 1
Cartesian
0.000 0.000 0.000
2.668 1.540 1.089
8.003 4.620 3.267
5.335 3.080 2.178
```

Output
mass density	8.73	Mg/m³
raw formation energy	0.88	eV per atom
excess energy over the best structure of this formula in the dataset	83.3	kJ per mole of atoms
spin magnetization	1.83	μB per formula unit
E	-19.59	eV per cell